Record 1
Material: TiNbTeW2
Method: DFT, GGA-PBE
State: relaxed

Its formation energy without anion corrections is 1.91 eV per atom. Its raw total energy is -7.491 eV per atom.

```
5
Lattice="4.868 0.000 0.000 0.000 4.731 0.000 0.000 0.000 4.868" Properties=species:S:1:pos:R:3 pbc="T T T"
Nb 2.434 2.366 2.434
W 2.434 0.000 0.000
Ti 0.000 2.366 0.000
Te 0.000 0.000 0.000
W 0.000 0.000 2.434
```

=====

Record 2
Material: TiNbTeW2
Method: DFT, GGA-PBE
State: relaxed

Its formation energy without anion corrections is 1.60 eV per atom. Its raw total energy is -7.799 eV per atom.

```
5
Lattice="4.674 0.000 0.000 0.000 4.674 0.000 0.000 0.000 4.806" Properties=species:S:1:pos:R:3 pbc="T T T"
Nb 0.000 0.000 2.403
W 0.000 2.337 0.000
Ti 0.000 0.000 0.000
Te 2.337 2.337 2.403
W 2.337 0.000 0.000
```

=====

Record 3
Material: NbTlTe2
Method: DFT, GGA-PBE
State: relaxed

Its formation energy without anion corrections is -0.27 eV per atom. Its raw total energy is -4.954 eV per atom.

```
4
Lattice="3.489 0.000 0.000 0.000 3.489 0.000 0.000 0.000 8.562" Properties=species:S:1:pos:R:3 pbc="T T T"
Te 0.000 0.000 1.646
Tl 1.744 1.744 4.281
Nb 1.744 1.744 0.000
Te 0.000 0.000 6.916
```

=====

Record 4
Material: Nb2Tl2Te5
Method: DFT, GGA-PBE
State: relaxed

Its formation energy without anion corrections is -0.16 eV per atom. Its raw total energy is -4.668 eV per atom.

```
9
Lattice="-1.384 -4.745 -1.096 5.682 2.486 -6.249 5.418 -2.915 5.780" Properties=species:S:1:pos:R:3 pbc="T T T"
Te 0.000 0.000 0.000
Tl 8.637 -1.941 -2.506
Te 4.335 -1.691 1.847
Te 1.324 -2.424 -2.873
Te 8.392 -2.750 1.308
Tl 1.079 -3.233 0.941
Nb 6.299 -2.590 3.259
Te 5.381 -3.483 -3.412
Nb 3.416 -2.584 -4.824
```